# ZrTeS PBE-GGA relaxed
# Formation energy from raw total energies   -1089.1 meV/atom
# Energy above the most stable polymorph in this dataset   0.34 eV per formula unit
data_ZrTeS
_space_group_name_H-M_alt 'P 1'
_space_group_IT_number 1
_cell_length_a 5.652
_cell_length_b 5.652
_cell_length_c 7.269
_cell_angle_alpha 101.40
_cell_angle_beta 101.40
_cell_angle_gamma 42.57
loop_
_space_group_symop_operation_xyz
'x,y,z'
loop_
_atom_site_label
_atom_site_type_symbol
_atom_site_fract_x
_atom_site_fract_y
_atom_site_fract_z
Zr1 Zr 0.192 0.192 0.271
Zr2 Zr 0.808 0.808 0.729
Te1 Te 0.118 0.118 0.853
Te2 Te 0.882 0.882 0.147
S1 S 0.376 0.376 0.575
S2 S 0.624 0.624 0.425

=====

# AcLa3Tb2Y6 PBE-GGA relaxed
# Energy relative to the elements   0.020 eV/atom
data_AcLa3Tb2Y6
_space_group_name_H-M_alt 'P 1'
_space_group_IT_number 1
_cell_length_a 6.326
_cell_length_b 6.326
_cell_length_c 11.992
_cell_angle_alpha 95.03
_cell_angle_beta 95.03
_cell_angle_gamma 120.01
loop_
_space_group_symop_operation_xyz
'x,y,z'
loop_
_atom_site_label
_atom_site_type_symbol
_atom_site_fract_x
_atom_site_fract_y
_atom_site_fract_z
Ac1 Ac 0.000 0.000 0.000
La1 La 0.167 0.833 0.500
La2 La 0.500 0.500 0.500
La3 La 0.833 0.167 0.500
Tb1 Tb 0.333 0.667 0.000
Tb2 Tb 0.667 0.333 0.000
Y1 Y 0.083 0.420 0.249
Y2 Y 0.253 0.253 0.751
Y3 Y 0.420 0.083 0.249
Y4 Y 0.580 0.917 0.751
Y5 Y 0.747 0.747 0.249
Y6 Y 0.917 0.580 0.751

=====

# TaNb2TlO PBE-GGA relaxed
# Formation energy from raw total energies   2730.4 meV/atom
data_TaNb2TlO
_space_group_name_H-M_alt 'P 1'
_space_group_IT_number 1
_cell_length_a 5.249
_cell_length_b 5.249
_cell_length_c 5.121
_cell_angle_alpha 90.00
_cell_angle_beta 90.00
_cell_angle_gamma 90.00
loop_
_space_group_symop_operation_xyz
'x,y,z'
loop_
_atom_site_label
_atom_site_type_symbol
_atom_site_fract_x
_atom_site_fract_y
_atom_site_fract_z
Ta1 Ta 0.000 0.000 0.000
Nb1 Nb 0.000 0.500 0.500
Nb2 Nb 0.500 0.000 0.500
Tl1 Tl 0.000 0.000 0.500
O1 O 0.500 0.500 0.000

=====

# NiHSe2 PBE-GGA relaxed
# Energy above the most stable polymorph in this dataset   0.15 eV per formula unit
data_NiHSe2
_space_group_name_H-M_alt 'P 1'
_space_group_IT_number 1
_cell_length_a 3.548
_cell_length_b 6.067
_cell_length_c 7.206
_cell_angle_alpha 74.11
_cell_angle_beta 76.61
_cell_angle_gamma 73.31
loop_
_space_group_symop_operation_xyz
'x,y,z'
loop_
_atom_site_label
_atom_site_type_symbol
_atom_site_fract_x
_atom_site_fract_y
_atom_site_fract_z
Ni1 Ni 0.000 0.000 0.000
Ni2 Ni 0.250 0.689 0.801
H1 H 0.174 0.512 0.438
H2 H 0.710 0.474 0.146
Se1 Se 0.402 0.981 0.225
Se2 Se 0.496 0.594 0.485
Se3 Se 0.622 0.983 0.764
Se4 Se 0.814 0.430 0.942

=====

# CdPtAu2 PBE-GGA relaxed
# Energy relative to the elements   -0.102 eV/atom
data_CdPtAu2
_space_group_name_H-M_alt 'P 1'
_space_group_IT_number 1
_cell_length_a 5.731
_cell_length_b 5.731
_cell_length_c 2.961
_cell_angle_alpha 104.40
_cell_angle_beta 104.40
_cell_angle_gamma 120.67
loop_
_space_group_symop_operation_xyz
'x,y,z'
loop_
_atom_site_label
_atom_site_type_symbol
_atom_site_fract_x
_atom_site_fract_y
_atom_site_fract_z
Cd1 Cd 0.000 0.000 0.000
Pt1 Pt 0.500 0.500 0.000
Au1 Au 0.000 0.500 0.500
Au2 Au 0.500 0.000 0.500